DFT (GGA-PBEsol) results for a geometry-optimized Ca3SbN structure.

Results
As for the electronic total energy: -5.08 eV per atom. For the volume, the calculation gives 111.3 Å³/cell. As for the crystal system: cubic. As for the formation energy without anion corrections: -1183 meV/atom.

abc: 4.810 4.810 4.810
angles: 90.00 90.00 90.00
Sites, in units of the cell vectors:
Ca1 0.000 0.000 0.500
Ca2 0.000 0.500 0.000
Ca3 0.500 0.000 0.000
Sb1 0.500 0.500 0.500
N1 0.000 0.000 0.000

DFT (GGA-PBEsol) results for a geometry-optimized Nb6GaSb structure.

Results
As for the electronic total energy: -9.35 eV per atom. For the volume, the calculation gives 140.8 Å³/cell. As for the crystal system: cubic. As for the formation energy without anion corrections: -247 meV/atom.

abc: 5.202 5.202 5.202
angles: 90.00 90.00 90.00
Sites, in units of the cell vectors:
Nb1 0.000 0.249 0.500
Nb2 0.000 0.751 0.500
Nb3 0.249 0.500 0.000
Nb4 0.500 0.000 0.249
Nb5 0.500 0.000 0.751
Nb6 0.751 0.500 0.000
Ga1 0.000 0.000 0.000
Sb1 0.500 0.500 0.500

DFT (GGA-PBEsol) results for a geometry-optimized Cu2SiS3 structure.

Results
As for the electronic total energy: -5.08 eV per atom. For the volume, the calculation gives 204.3 Å³/cell. As for the crystal system: orthorhombic. As for the formation energy without anion corrections: -483 meV/atom.

abc: 6.254 6.254 6.007
angles: 90.00 90.00 60.38
Sites, in units of the cell vectors:
Cu1 0.003 0.675 0.500
Cu2 0.325 0.997 0.500
Cu3 0.675 0.003 0.000
Cu4 0.997 0.325 0.000
Si1 0.330 0.670 0.970
Si2 0.670 0.330 0.470
S1 0.011 0.661 0.873
S2 0.339 0.989 0.873
S3 0.342 0.658 0.344
S4 0.658 0.342 0.844
S5 0.661 0.011 0.373
S6 0.989 0.339 0.373

DFT (GGA-PBEsol) results for a geometry-optimized Sc2TaSb structure.

Results
As for the electronic total energy: -7.85 eV per atom. For the volume, the calculation gives 79.7 Å³/cell. As for the crystal system: tetragonal. As for the formation energy without anion corrections: -274 meV/atom.

abc: 4.412 4.412 4.095
angles: 90.00 90.00 90.00
Sites, in units of the cell vectors:
Sc1 0.000 0.500 0.000
Sc2 0.500 0.000 0.000
Ta1 0.000 0.000 0.500
Sb1 0.500 0.500 0.500

DFT (GGA-PBEsol) results for a geometry-optimized Na3HoTi2Nb2O12 structure.

Results
As for the electronic total energy: -8.27 eV per atom. As for the energy relative to the lowest polymorph listed for this composition: 7.1 meV/atom. For the volume, the calculation gives 228.2 Å³/cell. As for the crystal system: triclinic. As for the formation energy without anion corrections: -2748 meV/atom.

abc: 5.375 5.521 7.691
angles: 89.99 89.95 89.19
Sites, in units of the cell vectors:
Na1 0.000 0.000 0.000
Na2 0.016 0.929 0.502
Na3 0.499 0.473 0.003
Ho1 0.496 0.401 0.502
Ti1 0.509 0.947 0.747
Ti2 0.994 0.454 0.258
Nb1 0.509 0.947 0.242
Nb2 0.998 0.464 0.760
O1 0.068 0.449 0.005
O2 0.222 0.199 0.305
O3 0.226 0.197 0.697
O4 0.311 0.670 0.304
O5 0.313 0.675 0.698
O6 0.428 0.963 0.997
O7 0.582 0.998 0.503
O8 0.701 0.275 0.772
O9 0.706 0.275 0.232
O10 0.804 0.778 0.788
O11 0.810 0.770 0.212
O12 0.905 0.502 0.499

DFT (GGA-PBEsol) results for a geometry-optimized LiAg2F4 structure.

Results
As for the electronic total energy: -3.84 eV per atom. As for the energy relative to the lowest polymorph listed for this composition: 42.3 meV/atom. For the volume, the calculation gives 196.8 Å³/cell. As for the crystal system: tetragonal. As for the formation energy without anion corrections: -1515 meV/atom.

abc: 7.317 7.317 7.317
angles: 134.41 134.41 66.44
Sites, in units of the cell vectors:
Li1 0.375 0.125 0.250
Li2 0.625 0.875 0.750
Ag1 0.000 0.000 0.500
Ag2 0.000 0.500 0.000
Ag3 0.000 0.500 0.500
Ag4 0.500 0.500 0.000
F1 0.079 0.906 0.770
F2 0.191 0.421 0.327
F3 0.364 0.691 0.270
F4 0.406 0.136 0.827
F5 0.594 0.864 0.173
F6 0.636 0.309 0.730
F7 0.809 0.579 0.673
F8 0.921 0.094 0.230

DFT (GGA-PBEsol) results for a geometry-optimized ZrSc2Mo structure.

Results
As for the electronic total energy: -8.42 eV per atom. For the formation energy, the calculation gives 0.095 eV/atom. As for the energy relative to the lowest polymorph listed for this composition: 21.0 meV/atom. For the volume, the calculation gives 81.3 Å³/cell. As for the crystal system: orthorhombic.

abc: 5.599 5.599 5.599
angles: 144.02 126.99 65.74
Sites, in units of the cell vectors:
Zr1 0.000 0.000 0.000
Sc1 0.436 0.436 0.000
Sc2 0.719 0.219 0.500
Mo1 0.204 0.704 0.500

DFT (GGA-PBEsol) results for a geometry-optimized BiP2OsRh structure.

Results
As for the electronic total energy: -6.24 eV per atom. For the formation energy, the calculation gives 1.004 eV/atom. For the volume, the calculation gives 98.0 Å³/cell. As for the crystal system: tetragonal.

abc: 4.361 4.361 5.151
angles: 90.00 90.00 90.00
Sites, in units of the cell vectors:
Bi1 0.000 0.000 0.000
P1 0.000 0.500 0.500
P2 0.500 0.000 0.500
Os1 0.500 0.500 0.000
Rh1 0.500 0.500 0.500

DFT (GGA-PBEsol) results for a geometry-optimized TaCoOF2 structure.

Results
As for the electronic total energy: -6.25 eV per atom. For the volume, the calculation gives 56.3 Å³/cell. As for the crystal system: tetragonal. As for the formation energy without anion corrections: -368 meV/atom.

abc: 3.835 3.835 3.827
angles: 90.00 90.00 90.00
Sites, in units of the cell vectors:
Ta1 0.000 0.000 0.000
Co1 0.500 0.500 0.500
O1 0.500 0.500 0.000
F1 0.000 0.500 0.500
F2 0.500 0.000 0.500

DFT (GGA-PBEsol) results for a geometry-optimized Ca2CrH2I2O11 structure.

Results
As for the electronic total energy: -6.08 eV per atom. For the volume, the calculation gives 954.5 Å³/cell. As for the crystal system: monoclinic.

abc: 9.904 7.179 13.963
angles: 90.00 105.96 90.00
Sites, in units of the cell vectors:
Ca1 0.099 0.244 0.011
Ca2 0.099 0.256 0.511
Ca3 0.298 0.095 0.296
Ca4 0.298 0.405 0.796
Ca5 0.702 0.595 0.204
Ca6 0.702 0.905 0.704
Ca7 0.901 0.744 0.489
Ca8 0.901 0.756 0.989
Cr1 0.433 0.203 0.580
Cr2 0.433 0.297 0.080
Cr3 0.567 0.703 0.920
Cr4 0.567 0.797 0.420
H1 0.401 0.005 0.862
H2 0.401 0.495 0.362
H3 0.428 0.060 0.759
H4 0.428 0.440 0.259
H5 0.572 0.560 0.741
H6 0.572 0.940 0.241
H7 0.599 0.505 0.638
H8 0.599 0.995 0.138
I1 0.050 0.708 0.271
I2 0.050 0.792 0.771
I3 0.263 0.744 0.078
I4 0.263 0.756 0.578
I5 0.737 0.244 0.422
I6 0.737 0.256 0.922
I7 0.950 0.208 0.229
I8 0.950 0.292 0.729
O1 0.058 0.189 0.843
O2 0.058 0.311 0.343
O3 0.096 0.185 0.173
O4 0.096 0.315 0.673
O5 0.119 0.578 0.837
O6 0.119 0.922 0.337
O7 0.133 0.559 0.065
O8 0.133 0.941 0.565
O9 0.136 0.588 0.505
O10 0.136 0.912 0.005
O11 0.269 0.698 0.707
O12 0.269 0.802 0.207
O13 0.325 0.152 0.471
O14 0.325 0.348 0.971
O15 0.351 0.152 0.135
O16 0.351 0.348 0.635
O17 0.404 0.113 0.818
O18 0.404 0.387 0.318
O19 0.421 0.705 0.430
O20 0.421 0.795 0.930
O21 0.465 0.007 0.649
O22 0.465 0.493 0.149
O23 0.535 0.507 0.851
O24 0.535 0.993 0.351
O25 0.579 0.205 0.070
O26 0.579 0.295 0.570
O27 0.596 0.613 0.682
O28 0.596 0.887 0.182
O29 0.649 0.652 0.365
O30 0.649 0.848 0.865
O31 0.675 0.652 0.029
O32 0.675 0.848 0.529
O33 0.731 0.198 0.793
O34 0.731 0.302 0.293
O35 0.864 0.088 0.995
O36 0.864 0.412 0.495
O37 0.867 0.059 0.435
O38 0.867 0.441 0.935
O39 0.881 0.078 0.663
O40 0.881 0.422 0.163
O41 0.904 0.685 0.327
O42 0.904 0.815 0.827
O43 0.942 0.689 0.657
O44 0.942 0.811 0.157

DFT (GGA-PBEsol) results for a geometry-optimized TaSbMo2 structure.

Results
As for the electronic total energy: -10.10 eV per atom. For the volume, the calculation gives 67.2 Å³/cell. As for the crystal system: tetragonal. As for the formation energy without anion corrections: 65 meV/atom.

abc: 4.481 4.481 3.348
angles: 90.00 90.00 90.00
Sites, in units of the cell vectors:
Ta1 0.000 0.000 0.000
Sb1 0.500 0.500 0.000
Mo1 0.000 0.500 0.500
Mo2 0.500 0.000 0.500

DFT (GGA-PBEsol) results for a geometry-optimized Li4Ti7O16 structure.

Results
As for the electronic total energy: -8.42 eV per atom. For the volume, the calculation gives 279.1 Å³/cell. As for the crystal system: monoclinic. As for the formation energy without anion corrections: -2859 meV/atom.

abc: 5.762 5.762 9.593
angles: 90.26 90.26 61.21
Sites, in units of the cell vectors:
Li1 0.000 0.000 0.000
Li2 0.003 0.497 0.562
Li3 0.021 0.021 0.672
Li4 0.497 0.003 0.562
Ti1 0.013 0.525 0.880
Ti2 0.278 0.793 0.391
Ti3 0.305 0.305 0.158
Ti4 0.519 0.519 0.666
Ti5 0.525 0.013 0.880
Ti6 0.768 0.768 0.167
Ti7 0.793 0.278 0.391
O1 0.122 0.637 0.068
O2 0.138 0.138 0.475
O3 0.187 0.187 0.984
O4 0.199 0.672 0.558
O5 0.380 0.380 0.803
O6 0.414 0.877 0.738
O7 0.430 0.941 0.245
O8 0.441 0.441 0.300
O9 0.637 0.122 0.068
O10 0.639 0.639 0.485
O11 0.672 0.199 0.558
O12 0.678 0.678 0.988
O13 0.877 0.414 0.738
O14 0.884 0.884 0.824
O15 0.932 0.932 0.306
O16 0.941 0.430 0.245

Which value of volume does entry 3 give?
204.3 Å³/cell

Which value of electronic total energy does entry 6 give?
-3.84 eV per atom